# 1
LaY3V | PBE | relaxed

a b c (Å): 5.5655 5.5655 5.5655
angles (deg): 90.00 90.00 90.00
Last column: nearest neighbours and their distance in Å.
Fractional coordinates of all 5 atoms:
Y 0.0000 0.5000 0.0000  2 La 2.78
Y 0.0000 0.0000 0.5000  2 La 2.78
La 0.0000 0.0000 0.0000  6 Y 2.78
V 0.5000 0.5000 0.5000  12 Y 3.94
Y 0.5000 0.0000 0.0000  2 La 2.78

Calculated values
Calculated total energy (eV per atom): -5.455
ΔE to the lowest computed polymorph (meV per atom): 845.2
Symmetry: Pm-3m (221)
DOS(E_F) (states/eV per cell): 8.050
Size of the total moment (μB/atom): 0.8050

***

# 2
CaTcW2 | PBE | relaxed

a b c (Å): 3.1252 4.5901 4.8364
angles (deg): 90.00 90.00 90.00
Last column: nearest neighbours and their distance in Å.
Fractional coordinates of all 4 atoms:
W 0.0000 0.0000 0.0000  4 W 2.78, 4 Ca 2.88
Tc 0.0000 0.5000 0.5000  4 Ca 2.78, 4 W 2.88
Ca 0.5000 0.0000 0.5000  4 Tc 2.78, 4 W 2.88
W 0.5000 0.5000 0.0000  4 W 2.78, 4 Tc 2.88

Calculated values
Calculated total energy (eV per atom): -8.789
ΔE to the lowest computed polymorph (meV per atom): 285.7
Symmetry: Pmmm (47)
DOS(E_F) (states/eV per cell): 4.858
Size of the total moment (μB/atom): 0.0003

***

# 3
KYPb | PBE | relaxed

a b c (Å): 9.3422 5.2973 8.8815
angles (deg): 90.00 90.00 90.00
Last column: nearest neighbours and their distance in Å.
Fractional coordinates of all 12 atoms:
Y 0.3592 0.2500 0.0762  4 Pb 3.13-3.18
Y 0.6408 0.7500 0.9238  4 Pb 3.13-3.18
K 0.5105 0.7500 0.3461  5 Pb 3.66-3.99, 2 K 3.81, 4 Y 3.84-4.01
Pb 0.6926 0.2500 0.1151  4 Y 3.13-3.18
K 0.4895 0.2500 0.6539  5 Pb 3.66-3.99, 2 K 3.81, 4 Y 3.84-4.01
Pb 0.1926 0.2500 0.3849  4 Y 3.13-3.18
K 0.0105 0.7500 0.1539  5 Pb 3.66-3.99, 2 K 3.81, 4 Y 3.84-4.01
Pb 0.3074 0.7500 0.8849  4 Y 3.13-3.18
Pb 0.8074 0.7500 0.6151  4 Y 3.13-3.18
Y 0.8592 0.2500 0.4238  4 Pb 3.13-3.18
Y 0.1408 0.7500 0.5762  4 Pb 3.13-3.18
K 0.9895 0.2500 0.8461  5 Pb 3.66-3.99, 2 K 3.81, 4 Y 3.84-4.01

Calculated values
Calculated total energy (eV per atom): -4.003
ΔE to the lowest computed polymorph (meV per atom): 42.9
Symmetry: Pnma (62)
DOS(E_F) (states/eV per cell): 0.000
Size of the total moment (μB/atom): 0.0000

***

# 4
PaCd2RuO8 | PBE | relaxed

a b c (Å): 5.0393 5.0324 6.6636
angles (deg): 90.00 90.00 91.81
Last column: nearest neighbours and their distance in Å.
Fractional coordinates of all 12 atoms:
O 0.7370 0.7367 0.0000  1 Ru 1.84
O 0.1779 0.8220 0.2229  1 Ru 1.97
O 0.7092 0.7088 0.5000  1 Pa 2.04, 2 Cd 2.26
Cd 0.5000 0.5000 0.7578  6 O 2.26-2.33
Ru 0.0000 0.0000 0.0000  6 O 1.84-1.97
O 0.1779 0.8220 0.7771  1 Ru 1.97
O 0.8221 0.1780 0.7771  1 Ru 1.97
Pa 0.0000 0.0000 0.5000  6 O 2.04-2.25
O 0.2630 0.2633 0.0000  1 Ru 1.84
O 0.2908 0.2912 0.5000  1 Pa 2.04, 2 Cd 2.26
O 0.8221 0.1780 0.2229  1 Ru 1.97
Cd 0.5000 0.5000 0.2422  6 O 2.26-2.33

Calculated values
Calculated total energy (eV per atom): -6.621
Symmetry: Cmmm (65)
ΔE_f (raw) (eV/f.u.): -19.18
DOS(E_F) (states/eV per cell): 3.690
Size of the total moment (μB/atom): 0.0226

***

# 5
Sr8Cd2Pd | PBE | relaxed

a b c (Å): 4.6915 8.6671 12.2119
angles (deg): 88.69 101.07 90.00
Last column: nearest neighbours and their distance in Å.
Fractional coordinates of all 11 atoms:
Sr 0.2313 0.3020 0.4627  3 Cd 3.44-3.82
Sr 0.3734 0.0100 0.7469  1 Pd 3.03
Sr 0.3983 0.5157 0.7967  2 Cd 3.39
Sr 0.7687 0.6980 0.5373  3 Cd 3.44-3.82
Pd 0.5000 0.0000 0.0000  6 Sr 3.03-3.06
Sr 0.6266 0.9900 0.2531  1 Pd 3.03
Sr 0.9939 0.2258 0.9877  2 Pd 3.06
Cd 0.8363 0.2945 0.6726  6 Sr 3.39-3.50
Sr 0.6017 0.4843 0.2033  2 Cd 3.39
Cd 0.1637 0.7055 0.3274  6 Sr 3.39-3.50
Sr 0.0061 0.7742 0.0123  2 Pd 3.06

Calculated values
Calculated total energy (eV per atom): -2.088
Symmetry: C2/m (12)
DOS(E_F) (states/eV per cell): 10.313
Size of the total moment (μB/atom): 0.0000

***

# 6
CoMoPt2 | PBE | relaxed

a b c (Å): 4.3807 4.3807 4.3807
angles (deg): 60.00 60.00 60.00
Last column: nearest neighbours and their distance in Å.
Fractional coordinates of all 4 atoms:
Pt 0.2500 0.2500 0.2500  4 Mo 2.68, 4 Co 2.68
Co 0.0000 0.0000 0.0000  8 Pt 2.68
Mo 0.5000 0.5000 0.5000  8 Pt 2.68
Pt 0.7500 0.7500 0.7500  4 Mo 2.68, 4 Co 2.68

Calculated values
Calculated total energy (eV per atom): -7.398
ΔE to the lowest computed polymorph (meV per atom): 300.8
Symmetry: Fm-3m (225)
DOS(E_F) (states/eV per cell): 7.398
Size of the total moment (μB/atom): 0.1981

***

# 7
In2HgHPb | PBE | relaxed

a b c (Å): 4.6561 4.6561 5.3615
angles (deg): 90.00 90.00 90.00
Last column: nearest neighbours and their distance in Å.
Fractional coordinates of all 5 atoms:
H 0.0000 0.0000 0.0000  4 In 2.33
Hg 0.0000 0.0000 0.5000  2 H 2.68
In 0.5000 0.0000 0.0000  2 H 2.33
Pb 0.5000 0.5000 0.5000  4 Hg 3.29, 8 In 3.55
In 0.0000 0.5000 0.0000  2 H 2.33

Calculated values
Calculated total energy (eV per atom): -2.358
ΔE to the lowest computed polymorph (meV per atom): 0.0
Symmetry: P4/mmm (123)
DOS(E_F) (states/eV per cell): 2.482
Size of the total moment (μB/atom): 0.0000

***

# 8
AlNi5Pt6 | PBE | relaxed

a b c (Å): 4.5275 5.5084 7.1210
angles (deg): 67.19 86.06 89.98
Last column: nearest neighbours and their distance in Å.
Fractional coordinates of all 12 atoms:
Pt 0.8382 0.5837 0.3322  1 Al 2.64, 7 Ni 2.64-2.66, 4 Pt 2.73-2.76
Pt 0.8383 0.0840 0.3322  7 Ni 2.63-2.66, 1 Al 2.64, 4 Pt 2.73-2.76
Pt 0.1617 0.9160 0.6678  7 Ni 2.63-2.66, 1 Al 2.64, 4 Pt 2.73-2.76
Pt 0.1618 0.4163 0.6678  1 Al 2.64, 7 Ni 2.64-2.66, 4 Pt 2.73-2.76
Ni 0.6593 0.1669 0.6659  8 Pt 2.64-2.66, 3 Ni 2.72-2.76, 1 Al 2.77
Ni 0.3361 0.3334 0.3332  8 Pt 2.64-2.66, 4 Ni 2.72-2.76
Al 0.0000 0.0000 0.0000  8 Pt 2.64-2.65, 4 Ni 2.75-2.77
Pt 0.5001 0.2509 0.9999  6 Ni 2.64-2.65, 2 Al 2.65, 4 Pt 2.75-2.76
Ni 0.0000 0.5000 0.0000  8 Pt 2.63-2.65, 2 Al 2.75, 2 Ni 2.76
Pt 0.4999 0.7491 0.0001  6 Ni 2.64-2.65, 2 Al 2.65, 4 Pt 2.75-2.76
Ni 0.3407 0.8331 0.3341  8 Pt 2.64-2.66, 3 Ni 2.72-2.76, 1 Al 2.77
Ni 0.6639 0.6666 0.6668  8 Pt 2.64-2.66, 4 Ni 2.72-2.76

Calculated values
Calculated total energy (eV per atom): -6.028
Symmetry: P-1 (2)
DOS(E_F) (states/eV per cell): 17.443
Size of the total moment (μB/atom): 0.4003

***

# 9
CeSmYSc | PBE | relaxed

a b c (Å): 5.5754 5.5754 5.5754
angles (deg): 60.00 60.00 60.00
Last column: nearest neighbours and their distance in Å.
Fractional coordinates of all 4 atoms:
Sm 0.2500 0.2500 0.2500  4 Ce 3.41, 4 Y 3.41
Ce 0.5000 0.5000 0.5000  4 Sc 3.41, 4 Sm 3.41
Sc 0.7500 0.7500 0.7500  4 Ce 3.41, 4 Y 3.41
Y 0.0000 0.0000 0.0000  4 Sm 3.41, 4 Sc 3.41

Calculated values
Calculated total energy (eV per atom): -5.680
Symmetry: F-43m (216)
DOS(E_F) (states/eV per cell): 11.122
Size of the total moment (μB/atom): 0.3880

***

# 10
AgSeBr2 | PBE | relaxed

a b c (Å): 4.2091 5.1613 5.1485
angles (deg): 90.62 90.00 90.00
Last column: nearest neighbours and their distance in Å.
Fractional coordinates of all 4 atoms:
Br 0.0000 0.5020 0.5021  2 Ag 2.77, 2 Se 2.79
Br 0.0000 0.9980 0.9979  2 Ag 2.77, 2 Se 2.79
Se 0.5000 0.2500 0.2500  4 Br 2.79
Ag 0.5000 0.7500 0.7500  4 Br 2.77

Calculated values
Calculated total energy (eV per atom): -2.265
ΔE to the lowest computed polymorph (meV per atom): 311.5
Symmetry: P2/m (10)
ΔE_f (raw) (eV/f.u.): 0.62
DOS(E_F) (states/eV per cell): 1.928
Size of the total moment (μB/atom): 0.0000

***

- Which formula does entry 1 have?
  LaY3V

***

- Look up the DOS(E_F) of the third one.
  0.000 states/eV per cell

***

Copy entry 4 word for word.
PaCd2RuO8 | PBE | relaxed

a b c (Å): 5.0393 5.0324 6.6636
angles (deg): 90.00 90.00 91.81
Last column: nearest neighbours and their distance in Å.
Fractional coordinates of all 12 atoms:
O 0.7370 0.7367 0.0000  1 Ru 1.84
O 0.1779 0.8220 0.2229  1 Ru 1.97
O 0.7092 0.7088 0.5000  1 Pa 2.04, 2 Cd 2.26
Cd 0.5000 0.5000 0.7578  6 O 2.26-2.33
Ru 0.0000 0.0000 0.0000  6 O 1.84-1.97
O 0.1779 0.8220 0.7771  1 Ru 1.97
O 0.8221 0.1780 0.7771  1 Ru 1.97
Pa 0.0000 0.0000 0.5000  6 O 2.04-2.25
O 0.2630 0.2633 0.0000  1 Ru 1.84
O 0.2908 0.2912 0.5000  1 Pa 2.04, 2 Cd 2.26
O 0.8221 0.1780 0.2229  1 Ru 1.97
Cd 0.5000 0.5000 0.2422  6 O 2.26-2.33

Calculated values
Calculated total energy (eV per atom): -6.621
Symmetry: Cmmm (65)
ΔE_f (raw) (eV/f.u.): -19.18
DOS(E_F) (states/eV per cell): 3.690
Size of the total moment (μB/atom): 0.0226